# Tb6SmIn6

Tb6SmIn6 after structural relaxation (PBE-GGA, the Alexandria database).

The structure in POSCAR format:
```
Tb6SmIn6
1.0
6.285 -0.001 0.000
-3.142 5.443 0.000
0.000 0.000 10.806
Tb Sm In
6 1 6
Cartesian
0.000 3.628 5.403
0.000 0.000 7.160
0.000 0.000 3.645
3.142 1.814 0.000
3.142 1.814 5.403
0.000 3.628 0.000
0.000 0.000 0.000
3.142 0.000 8.150
1.571 2.721 8.150
-1.571 2.721 8.150
1.571 2.721 2.656
3.142 0.000 2.656
-1.571 2.721 2.656
```

The value obtained for the energy relative to the elements is -0.333 eV/atom. Its space group is No. 191.

---

# BaHoSb2

BaHoSb2 after structural relaxation (PBE-GGA, the Alexandria database).

The structure in POSCAR format:
```
BaHoSb2
1.0
-1.540 1.637 4.094
2.590 -0.530 3.851
3.792 7.087 1.257
Sb Ba Ho
2 1 1
Cartesian
1.054 1.743 2.364
3.788 6.452 6.838
2.421 4.097 4.601
0.000 0.000 0.000
```

As for the energy relative to the elements, uncorrected: -0.93 eV per atom. Its space group is No. 166. Its offset from the most stable computed form is 0.000 eV per atom.

---

# Ca2CuSeN

Ca2CuSeN after structural relaxation (PBE-GGA, the Alexandria database).

The structure in POSCAR format:
```
Ca2CuSeN
1.0
-0.826 2.767 4.035
3.194 -2.794 2.571
2.823 2.305 -1.003
Cu Ca Se N
1 2 1 1
Cartesian
1.412 1.153 -0.501
1.597 -1.397 1.285
-0.413 1.384 2.017
2.596 1.139 2.801
0.000 0.000 0.000
```

As for the energy relative to the elements, uncorrected: -1.06 eV per atom. Its space group is No. 123.

---

# CaCrRe2

CaCrRe2 after structural relaxation (PBE-GGA, the Alexandria database).

The structure in POSCAR format:
```
CaCrRe2
1.0
5.361 0.032 0.043
4.564 2.814 0.043
1.824 0.523 4.421
Re Ca Cr
2 1 1
Cartesian
9.671 2.773 0.267
6.129 1.757 2.073
8.812 2.527 3.381
2.937 0.842 1.127
```

The value obtained for the energy relative to the elements is 0.589 eV/atom. Its space group is No. 12. Its offset from the most stable computed form is 0.110 eV per atom.

---

no.,density of states at the Fermi level (states/eV per cell)
1,17.01
2,3.48
3,0.20
4,4.20